A plane-wave DFT calculation with PBE was carried out for crystalline CdPd7Pt4 at its relaxed geometry.

Cell: 5.600 5.600 9.705 Å, 117.06 117.06 51.87°
Sites, in units of the cell vectors:
Cd 0.000 0.000 0.000
Pd 0.109 0.109 0.448
Pd 0.290 0.290 0.082
Pd 0.347 0.347 0.379
Pd 0.500 0.500 0.000
Pd 0.653 0.653 0.621
Pd 0.710 0.710 0.918
Pd 0.891 0.891 0.552
Pt 0.195 0.195 0.769
Pt 0.411 0.411 0.686
Pt 0.589 0.589 0.314
Pt 0.805 0.805 0.231

Output
- DOS(E_F): 16.2 states/eV/f.u.
- E_tot: -4.949 eV per atom
- ΔE_f: 0.1697 eV per atom
- Symmetry: C2/m (12)